DFT (PBE) results for an optimized crystal structure of CaSmSn2.

Results
As for the total magnetization: 0.00 Bohr magnetons per cell. As for the space-group type: P4/mmm, No. 123. Its formation energy is -0.65 eV per atom. The density of states at the Fermi level comes out at 0.57 states/eV per atom.

a b c (Å): 3.5062 3.5062 9.0854
angles (deg): 90.00 90.00 90.00
With the nearest neighbours (Å) after each atom.
Positions (direct):
Sm 0.5000 0.5000 0.0000  8 Sn 3.36, 4 Sm 3.51
Sn 0.0000 0.0000 0.7512  4 Sm 3.36, 4 Ca 3.37, 4 Sn 3.51
Sn 0.0000 0.0000 0.2488  4 Sm 3.36, 4 Ca 3.37, 4 Sn 3.51
Ca 0.5000 0.5000 0.5000  8 Sn 3.37, 4 Ca 3.51